## BaNi3P3 (PBE)

Data for BaNi3P3 after structural relaxation.

For the formation energy, the calculation gives -0.565 eV/atom. For the uncorrected energy, the calculation gives -5.64 eV per atom. The total moment comes out at 0.000 μB per formula unit. The calculated density is 4.94 Mg/m³. Its space group is R-3 (148).

Geometry as extended XYZ:
```
14
Lattice="-4.789 1.335 -4.168 -0.413 -3.233 -5.609 -6.043 -5.801 0.037" Properties=species:S:1:pos:R:3 pbc="T T T"
Ba -1.738 -0.637 -3.257
Ba -9.508 -7.063 -6.484
Ni -7.526 -2.884 -4.021
Ni -6.758 -2.839 -6.593
Ni -4.488 -4.861 -3.147
Ni -6.239 -5.465 -6.383
Ni -3.719 -4.815 -5.720
Ni -5.007 -2.235 -3.357
P -8.054 -4.332 -5.633
P -6.274 -1.342 -4.960
P -4.996 -3.954 -7.384
P -6.250 -3.746 -2.356
P -4.972 -6.358 -4.781
P -3.192 -3.368 -4.108
```

## Ba3NiP2 (PBE)

Data for Ba3NiP2 after structural relaxation.

For the formation energy, the calculation gives -0.785 eV/atom. For the uncorrected energy, the calculation gives -4.51 eV per atom. The total moment comes out at 0.000 μB per formula unit. The calculated density is 4.65 Mg/m³. Its space group is Pnma (62).

Geometry as extended XYZ:
```
24
Lattice="4.280 0.000 0.000 0.000 13.816 0.000 0.000 0.000 12.862" Properties=species:S:1:pos:R:3 pbc="T T T"
Ba 3.210 13.498 1.702
Ba 3.210 2.662 3.662
Ba 1.070 0.318 11.160
Ba 3.210 4.246 10.093
Ba 1.070 11.154 9.200
Ba 1.070 5.346 0.729
Ba 1.070 9.570 2.769
Ba 1.070 6.590 4.729
Ba 3.210 12.254 5.702
Ba 1.070 1.562 7.160
Ba 3.210 8.470 12.133
Ba 3.210 7.226 8.133
P 3.210 13.532 8.723
P 3.210 4.297 6.714
P 3.210 7.192 2.292
P 1.070 9.519 6.148
P 1.070 0.284 4.139
P 1.070 6.624 10.570
P 3.210 2.611 0.283
P 1.070 11.205 12.579
Ni 3.210 9.207 5.737
Ni 1.070 4.609 7.125
Ni 3.210 11.517 12.168
Ni 1.070 2.299 0.694
```

## BaNi2P3 (PBE)

Data for BaNi2P3 after structural relaxation.

For the formation energy, the calculation gives -0.714 eV/atom. For the uncorrected energy, the calculation gives -5.67 eV per atom. The total moment comes out at 0.000 μB per formula unit. The calculated density is 4.92 Mg/m³. Its space group is Cmcm (63).

Geometry as extended XYZ:
```
12
Lattice="5.729 0.000 0.000 0.000 6.473 -1.685 0.000 -1.057 6.604" Properties=species:S:1:pos:R:3 pbc="T T T"
P 4.297 2.662 0.929
P 1.432 2.754 3.990
P 1.432 1.180 2.560
P 1.432 -0.324 5.797
P 4.297 4.236 2.359
P 4.297 5.740 -0.878
Ni 0.000 4.456 4.048
Ni 2.865 4.456 4.048
Ni 0.000 0.959 0.871
Ni 2.865 0.959 0.871
Ba 4.297 1.094 4.237
Ba 1.432 4.322 0.683
```

## BaNi2P (PBE)

Data for BaNi2P after structural relaxation.

For the formation energy, the calculation gives 0.510 eV/atom. For the uncorrected energy, the calculation gives -4.21 eV per atom. The total moment comes out at 0.835 μB per formula unit. The calculated density is 6.06 Mg/m³. Its space group is F-43m (216).

Geometry as extended XYZ:
```
4
Lattice="-3.998 -1.118 2.416 -4.133 2.215 -1.040 -3.532 -2.410 -2.186" Properties=species:S:1:pos:R:3 pbc="T T T"
Ba -5.831 -0.657 -0.405
Ni -2.916 -0.328 -0.202
Ni 0.000 0.000 0.000
P -8.747 -0.985 -0.607
```

## BaNi2P (PBE)

Data for BaNi2P after structural relaxation.

For the formation energy, the calculation gives -0.532 eV/atom. For the uncorrected energy, the calculation gives -5.26 eV per atom. The total moment comes out at 0.000 μB per formula unit. The calculated density is 5.41 Mg/m³. Its space group is I4_1/amd (141).

Geometry as extended XYZ:
```
8
Lattice="4.908 0.000 0.000 0.000 4.908 0.000 2.454 2.454 7.277" Properties=species:S:1:pos:R:3 pbc="T T T"
Ni 2.456 3.681 1.819
Ni 6.135 4.907 5.458
Ni 3.681 4.910 5.458
Ni 2.453 1.227 1.819
Ba 0.000 0.000 0.000
Ba 4.908 2.454 3.638
P 2.454 2.454 0.000
P 2.454 4.908 3.638
```

## BaNi12P6 (PBE)

Data for BaNi12P6 after structural relaxation.

For the formation energy, the calculation gives -0.537 eV/atom. For the uncorrected energy, the calculation gives -6.00 eV per atom. The total moment comes out at 0.000 μB per formula unit. The calculated density is 6.75 Mg/m³. Its space group is R-3m (166).

Geometry as extended XYZ:
```
19
Lattice="6.561 0.027 0.038 -1.600 6.363 0.038 -1.600 -2.061 6.020" Properties=species:S:1:pos:R:3 pbc="T T T"
P 0.096 0.123 3.950
P 3.265 4.205 2.146
P 0.096 3.688 1.418
P -0.189 3.322 4.678
P 3.550 1.007 1.418
P 3.265 0.640 4.678
Ni -1.310 1.399 5.240
Ni 2.038 2.625 1.128
Ni -1.310 4.486 3.048
Ni 3.672 2.305 3.246
Ni 1.680 5.251 0.856
Ni 4.671 -0.157 3.048
Ni 1.680 -0.923 5.240
Ni -0.312 2.024 2.850
Ni 4.671 2.930 0.856
Ni 1.323 1.704 4.968
Ni 2.038 0.200 2.850
Ni 1.323 4.129 3.246
Ba 0.000 0.000 0.000
```